No. 1
VASP calculation (PBE-GGA) on crystalline CdSi2Sb at its relaxed geometry.

## Properties
- E_form (uncorrected): 0.516 eV/atom
- Energy above the most stable polymorph in this dataset: 0.270 eV per atom
- Uncorrected energy: -0.1270 hartree per atom

Lattice parameters (Å, degrees): 5.397 5.397 2.967 81.77 81.77 89.75
Fractional coordinates of all 4 atoms:
Cd: 0.500 0.000 0.500
Si: 0.000 0.000 0.000
Si: 0.500 0.500 0.000
Sb: 0.000 0.500 0.500

=====

No. 2
VASP calculation (PBE-GGA) on crystalline Cd2SiSb at its relaxed geometry.

## Properties
- E_form (uncorrected): 0.308 eV/atom
- Energy above the most stable polymorph in this dataset: 0.075 eV per atom
- Uncorrected energy: -0.0932 hartree per atom

Lattice parameters (Å, degrees): 9.035 9.035 9.035 22.47 22.47 22.47
Fractional coordinates of all 4 atoms:
Cd: 0.490 0.490 0.490
Cd: 0.010 0.010 0.010
Si: 0.750 0.750 0.750
Sb: 0.250 0.250 0.250

=====

No. 3
VASP calculation (PBE-GGA) on crystalline CdSi2Sb at its relaxed geometry.

## Properties
- E_form (uncorrected): 0.304 eV/atom
- Energy above the most stable polymorph in this dataset: 0.058 eV per atom
- Uncorrected energy: -0.1347 hartree per atom

Lattice parameters (Å, degrees): 3.717 5.061 5.061 65.69 90.00 90.00
Fractional coordinates of all 4 atoms:
Si: 0.000 0.031 0.031
Si: 0.500 0.214 0.214
Cd: 0.000 0.477 0.477
Sb: 0.500 0.778 0.778

=====

No. 4
VASP calculation (PBE-GGA) on crystalline CdSiSb2 at its relaxed geometry.

## Properties
- E_form (uncorrected): 0.357 eV/atom
- Uncorrected energy: -0.1209 hartree per atom

Lattice parameters (Å, degrees): 3.200 3.200 9.702 90.00 90.00 105.15
Fractional coordinates of all 4 atoms:
Sb: 0.000 0.000 0.978
Sb: 0.500 0.500 0.287
Si: 0.000 0.000 0.509
Cd: 0.500 0.500 0.726

=====

No. 5
VASP calculation (PBE-GGA) on crystalline CdSi2Sb2 at its relaxed geometry.

## Properties
- E_form (uncorrected): 0.402 eV/atom
- Uncorrected energy: -0.1323 hartree per atom

Lattice parameters (Å, degrees): 4.295 4.295 7.812 74.04 74.04 90.00
Fractional coordinates of all 5 atoms:
Si: 0.250 0.750 0.500
Si: 0.750 0.250 0.500
Sb: 0.372 0.372 0.257
Sb: 0.628 0.628 0.743
Cd: 0.000 0.000 0.000

=====

No. 6
VASP calculation (PBE-GGA) on crystalline CdSiSb2 at its relaxed geometry.

## Properties
- E_form (uncorrected): 0.275 eV/atom
- Uncorrected energy: -0.1239 hartree per atom

Lattice parameters (Å, degrees): 9.717 9.717 9.717 21.34 21.34 21.34
Fractional coordinates of all 4 atoms:
Sb: 0.017 0.017 0.017
Sb: 0.224 0.224 0.224
Si: 0.499 0.499 0.499
Cd: 0.761 0.761 0.761

=====

No. 7
VASP calculation (PBE-GGA) on crystalline CdSiSb2 at its relaxed geometry.

## Properties
- E_form (uncorrected): 0.289 eV/atom
- Uncorrected energy: -0.1234 hartree per atom

Lattice parameters (Å, degrees): 6.490 6.490 6.490 145.47 140.23 53.67
Fractional coordinates of all 4 atoms:
Si: 0.750 0.250 0.500
Cd: 0.250 0.750 0.500
Sb: 0.938 0.938 0.000
Sb: 0.562 0.562 0.000

=====

No. 8
VASP calculation (PBE-GGA) on crystalline Cd2SiSb at its relaxed geometry.

## Properties
- E_form (uncorrected): 0.326 eV/atom
- Energy above the most stable polymorph in this dataset: 0.093 eV per atom
- Uncorrected energy: -0.0925 hartree per atom

Lattice parameters (Å, degrees): 5.489 3.139 5.345 94.75 90.00 90.00
Fractional coordinates of all 4 atoms:
Cd: 0.000 0.001 0.991
Cd: 0.000 0.499 0.509
Si: 0.500 0.750 0.750
Sb: 0.500 0.250 0.250

=====

> What is the formula in the eighth record?

Cd2SiSb